Record 1
Computed, not measured: a relaxed structure of SrTe5 at the PBE level of DFT.

* energy relative to the elements, uncorrected: -0.1731 eV/atom
* crystal system: cubic
* SG: No. 216
* distance to the lowest polymorph of the same formula: 0.2700 eV per atom

a b c (Å): 6.461 6.461 6.461
angles (deg): 60.00 60.00 60.00
Element x y z (fractional)
Te1 0.250 0.250 0.250
Te2 0.625 0.625 0.625
Te3 0.625 0.126 0.625
Te4 0.625 0.625 0.126
Te5 0.126 0.625 0.625
Sr1 0.000 0.000 0.000


Record 2
Computed, not measured: a relaxed structure of Rb2LaYSe4 at the PBE level of DFT.

* energy relative to the elements, uncorrected: -1.7752 eV/atom
* crystal system: monoclinic
* SG: No. 10

a b c (Å): 4.358 7.548 8.388
angles (deg): 107.42 90.00 90.00
Element x y z (fractional)
Se1 0.000 0.744 0.200
Se2 0.000 0.256 0.800
Se3 0.500 0.777 0.803
Se4 0.500 0.223 0.197
Rb1 0.500 0.000 0.500
Rb2 0.000 0.500 0.500
Y1 0.000 0.000 0.000
La1 0.500 0.500 0.000


Question: Which of these has the lowest energy relative to the elements, uncorrected?
Answer: Rb2LaYSe4